No. 1
Density functional theory data (GGA-PBE) for TmPu2Th after structural relaxation.

Computed properties:
Formation enthalpy at 0 K   69 kJ/mol of formula units
DOS at the Fermi energy   4.222 states/eV per atom
V   29.07 A^3/atom
Symmetry   R-3m
Total DFT energy (no corrections)   -9.96 eV per atom

Cell: 11.343 11.343 11.343 Å, 17.59 17.59 17.59°
Element x y z (fractional)
Tm 0.000 0.000 0.000
Pu 0.249 0.249 0.249
Pu 0.751 0.751 0.751
Th 0.500 0.500 0.500

***

No. 2
Density functional theory data (GGA-PBE) for Na2BiPd after structural relaxation.

Computed properties:
Formation enthalpy at 0 K   -111 kJ/mol of formula units
DOS at the Fermi energy   0.435 states/eV per atom
V   25.69 A^3/atom
Symmetry   Cmcm
Total DFT energy (no corrections)   -3.21 eV per atom

Cell: 6.095 6.095 5.845 Å, 90.00 90.00 71.13°
Element x y z (fractional)
Na 0.025 0.613 0.750
Na 0.387 0.975 0.750
Na 0.613 0.025 0.250
Na 0.975 0.387 0.250
Bi 0.176 0.824 0.250
Bi 0.824 0.176 0.750
Pd 0.500 0.500 0.000
Pd 0.500 0.500 0.500

***

No. 3
Density functional theory data (GGA-PBE) for TaCd after structural relaxation.

Computed properties:
Formation enthalpy at 0 K   121 kJ/mol of formula units
DOS at the Fermi energy   1.094 states/eV per atom
V   20.78 A^3/atom
Symmetry   I4/mmm
Total DFT energy (no corrections)   -5.76 eV per atom

Cell: 6.684 6.684 6.684 Å, 95.42 95.42 144.19°
Element x y z (fractional)
Ta 0.165 0.165 0.330
Ta 0.165 0.835 0.000
Ta 0.835 0.165 0.000
Ta 0.835 0.835 0.670
Cd 0.177 0.500 0.677
Cd 0.500 0.177 0.677
Cd 0.500 0.823 0.323
Cd 0.823 0.500 0.323

***

No. 4
Density functional theory data (GGA-PBE) for La4NiPb after structural relaxation.

Computed properties:
Formation enthalpy at 0 K   -195 kJ/mol of formula units
DOS at the Fermi energy   1.246 states/eV per atom
V   31.20 A^3/atom
Symmetry   P2_1/m
Total DFT energy (no corrections)   -5.20 eV per atom

Cell: 6.071 7.127 8.820 Å, 90.00 101.21 90.00°
Element x y z (fractional)
La 0.103 0.250 0.043
La 0.195 0.750 0.384
La 0.373 0.506 0.778
La 0.373 0.994 0.778
La 0.627 0.006 0.222
La 0.627 0.494 0.222
La 0.805 0.250 0.616
La 0.897 0.750 0.957
Ni 0.349 0.750 0.051
Ni 0.651 0.250 0.949
Pb 0.237 0.250 0.426
Pb 0.763 0.750 0.574

***

No. 5
Density functional theory data (GGA-PBE) for AcMg3Au2 after structural relaxation.

Computed properties:
Formation enthalpy at 0 K   -322 kJ/mol of formula units
DOS at the Fermi energy   0.542 states/eV per atom
V   24.32 A^3/atom
Symmetry   C2/m
Total DFT energy (no corrections)   -3.13 eV per atom

Cell: 8.812 8.812 8.596 Å, 115.79 115.79 29.30°
Element x y z (fractional)
Ac 0.146 0.146 0.063
Ac 0.854 0.854 0.937
Mg 0.046 0.046 0.380
Mg 0.315 0.315 0.549
Mg 0.400 0.400 0.310
Mg 0.600 0.600 0.690
Mg 0.685 0.685 0.451
Mg 0.954 0.954 0.620
Au 0.200 0.200 0.697
Au 0.481 0.481 0.823
Au 0.519 0.519 0.177
Au 0.800 0.800 0.303

***

No. 6
Density functional theory data (GGA-PBE) for AlCrAs after structural relaxation.

Computed properties:
Formation enthalpy at 0 K   -3 kJ/mol of formula units
DOS at the Fermi energy   0.424 states/eV per atom
V   15.14 A^3/atom
Symmetry   P3m1
Total DFT energy (no corrections)   -6.01 eV per atom

Cell: 2.973 2.973 5.935 Å, 90.00 90.00 120.00°
Element x y z (fractional)
Al 0.000 0.000 0.000
Cr 0.333 0.667 0.678
As 0.667 0.333 0.394

***

No. 7
Density functional theory data (GGA-PBE) for Cs2Li2SmCl6 after structural relaxation.

Computed properties:
Energy relative to the elements, uncorrected   -1.800 eV per atom
DOS at the Fermi energy   0.370 states/eV per atom
V   33.44 A^3/atom
Symmetry   P-3
Total DFT energy (no corrections)   -3.74 eV per atom

Cell: 7.294 7.294 7.983 Å, 90.00 90.00 120.00°
Element x y z (fractional)
Cs 0.333 0.667 0.372
Cs 0.667 0.333 0.628
Li 0.333 0.667 0.866
Li 0.667 0.333 0.134
Sm 0.000 0.000 0.000
Cl 0.160 0.327 0.765
Cl 0.166 0.840 0.765
Cl 0.327 0.166 0.235
Cl 0.673 0.834 0.765
Cl 0.834 0.160 0.235
Cl 0.840 0.673 0.235

***

No. 8
Density functional theory data (GGA-PBE) for NaScPbF6 after structural relaxation.

Computed properties:
Energy relative to the elements, uncorrected   -3.190 eV per atom
DOS at the Fermi energy   0.000 states/eV per atom
V   16.41 A^3/atom
Symmetry   P-31c
Total DFT energy (no corrections)   -5.70 eV per atom

Cell: 5.756 5.756 10.292 Å, 90.00 90.00 120.00°
Element x y z (fractional)
Na 0.333 0.667 0.250
Na 0.667 0.333 0.750
Sc 0.333 0.667 0.750
Sc 0.667 0.333 0.250
Pb 0.000 0.000 0.000
Pb 0.000 0.000 0.500
F 0.037 0.373 0.640
F 0.037 0.664 0.860
F 0.336 0.373 0.860
F 0.336 0.963 0.640
F 0.373 0.037 0.140
F 0.373 0.336 0.360
F 0.627 0.664 0.640
F 0.627 0.963 0.860
F 0.664 0.037 0.360
F 0.664 0.627 0.140
F 0.963 0.336 0.140
F 0.963 0.627 0.360

***

Copy entry 4 word for word.
Density functional theory data (GGA-PBE) for La4NiPb after structural relaxation.

Computed properties:
Formation enthalpy at 0 K   -195 kJ/mol of formula units
DOS at the Fermi energy   1.246 states/eV per atom
V   31.20 A^3/atom
Symmetry   P2_1/m
Total DFT energy (no corrections)   -5.20 eV per atom

Cell: 6.071 7.127 8.820 Å, 90.00 101.21 90.00°
Element x y z (fractional)
La 0.103 0.250 0.043
La 0.195 0.750 0.384
La 0.373 0.506 0.778
La 0.373 0.994 0.778
La 0.627 0.006 0.222
La 0.627 0.494 0.222
La 0.805 0.250 0.616
La 0.897 0.750 0.957
Ni 0.349 0.750 0.051
Ni 0.651 0.250 0.949
Pb 0.237 0.250 0.426
Pb 0.763 0.750 0.574

***

- Among the records above, which one has the lowest total DFT energy (no corrections)?
  TmPu2Th